Crystalline La6Ag5Pd at its relaxed geometry, computed with PBE.

```
data_La6Ag5Pd
_chemical_formula_sum 'La12 Ag10 Pd2'
_space_group_name_H-M_alt 'C m m m'
_space_group_IT_number 65
_space_group_name_Hall '-C 2 2'
_cell_length_a 5.375
_cell_length_b 16.131
_cell_length_c 7.586
_cell_angle_alpha 90.00
_cell_angle_beta 90.00
_cell_angle_gamma 90.00
loop_
_atom_site_label
_atom_site_type_symbol
_atom_site_fract_x
_atom_site_fract_y
_atom_site_fract_z
La1 La 0.000 0.000 0.238
La2 La 0.000 0.340 0.246
Ag1 Ag 0.000 0.170 0.500
Ag2 Ag 0.000 0.177 0.000
Ag3 Ag 0.000 0.500 0.500
Pd1 Pd 0.000 0.500 0.000
```

Properties
Final energy   -53.07 eV/f.u.
Energy relative to the elements   -392 kJ/mol of formula units
N(E_F)   12.32 states/eV/f.u.
Magnetization   0.00 μB/f.u.